1.
# Cs2TcO2F4 (GGA-PBE, optimized geometry)
data_Cs2TcO2F4
_chemical_formula_sum 'Cs4 Tc2 O4 F8'
_cell_length_a 10.916
_cell_length_b 6.399
_cell_length_c 5.178
_cell_angle_alpha 90.00
_cell_angle_beta 91.34
_cell_angle_gamma 90.00
_space_group_name_H-M_alt 'C 1 2/m 1'
_space_group_IT_number 12
_space_group_name_Hall '-C 2y'
loop_
_atom_site_label
_atom_site_type_symbol
_atom_site_fract_x
_atom_site_fract_y
_atom_site_fract_z
Cs1 Cs 0.167 0.000 0.301
Tc1 Tc 0.000 0.500 0.000
O1 O 0.132 0.500 0.206
F1 F 0.076 0.276 0.791
# total energy	-5.4865	eV/atom
# V	180.81	Å³/f.u.

2.
# ZnAsRu2 (GGA-PBE, optimized geometry)
data_ZnAsRu2
_chemical_formula_sum 'Zn4 As4 Ru8'
_cell_length_a 6.188
_cell_length_b 6.188
_cell_length_c 6.188
_cell_angle_alpha 90.00
_cell_angle_beta 90.00
_cell_angle_gamma 90.00
_space_group_name_H-M_alt 'F -4 3 m'
_space_group_IT_number 216
_space_group_name_Hall 'F -4 2 3'
loop_
_atom_site_label
_atom_site_type_symbol
_atom_site_fract_x
_atom_site_fract_y
_atom_site_fract_z
Zn1 Zn 0.000 0.000 0.000
As1 As 0.250 0.250 0.250
Ru1 Ru 0.000 0.000 0.500
Ru2 Ru 0.250 0.250 0.750
# energy above the lowest structure with this stoichiometry	378.1	meV per atom
# total energy	-5.8409	eV/atom
# V	59.22	Å³/f.u.
# energy of formation from the pure elements	0.278	eV/atom

3.
# V2CdSbN (GGA-PBE, optimized geometry)
data_V2CdSbN
_chemical_formula_sum 'V2 Cd1 Sb1 N1'
_cell_length_a 5.188
_cell_length_b 5.188
_cell_length_c 5.534
_cell_angle_alpha 90.00
_cell_angle_beta 90.00
_cell_angle_gamma 90.00
_space_group_name_H-M_alt 'P 4/m m m'
_space_group_IT_number 123
_space_group_name_Hall '-P 4 2'
loop_
_atom_site_label
_atom_site_type_symbol
_atom_site_fract_x
_atom_site_fract_y
_atom_site_fract_z
V1 V 0.000 0.500 0.000
Cd1 Cd 0.000 0.000 0.500
Sb1 Sb 0.000 0.000 0.000
N1 N 0.500 0.500 0.500
# total energy	-4.3994	eV/atom
# V	148.96	Å³/f.u.